[1]
Density functional theory data (GGA-PBEsol) for a relaxed Be2PbW crystal.

## Properties
The formation energy from the elements comes out at 1.040 eV/atom. The value obtained for the density of states at the Fermi level is 0.15 states/eV/atom.

Unit cell a=5.4454 b=5.4831 c=5.4831 alpha=75.72 beta=60.23 gamma=60.23
Last column: nearest neighbours and their distance in Å.
Element x y z (fractional)
Pb (0.0000, 0.0000, 0.0000)  4 Be 2.57, 2 W 2.72
Pb (0.7500, 0.5000, 0.5000)  4 Be 2.57, 2 W 2.72
Be (0.6048, 0.0202, 0.5202)  2 W 2.38, 2 Pb 2.57
Be (0.1452, 0.9798, 0.4798)  2 W 2.38, 2 Pb 2.57
Be (0.3750, 0.4798, 0.0202)  2 W 2.38, 2 Pb 2.57
Be (0.8750, 0.5202, 0.9798)  2 W 2.38, 2 Pb 2.57
W (0.5000, 0.0000, 0.0000)  4 Be 2.38
W (0.2500, 0.5000, 0.5000)  4 Be 2.38

[2]
Density functional theory data (GGA-PBEsol) for a relaxed Y2BePb crystal.

## Properties
The formation energy from the elements comes out at -0.014 eV/atom. The value obtained for the density of states at the Fermi level is 0.60 states/eV/atom.

Unit cell a=3.6856 b=4.7325 c=6.5238 alpha=102.71 beta=90.00 gamma=112.92
Last column: nearest neighbours and their distance in Å.
Element x y z (fractional)
Pb (0.5000, 0.0000, 0.0000)  6 Y 3.10-3.15
Y (0.7401, 0.4801, 0.7185)  3 Be 2.90-2.95, 3 Pb 3.10-3.15
Y (0.2599, 0.5199, 0.2815)  3 Be 2.90-2.95, 3 Pb 3.10-3.15
Be (0.0000, 0.0000, 0.5000)  6 Y 2.90-2.95

[3]
Density functional theory data (GGA-PBEsol) for a relaxed Y2BePb crystal.

## Properties
The formation energy from the elements comes out at 0.046 eV/atom. The value obtained for the density of states at the Fermi level is 0.68 states/eV/atom.

Unit cell a=3.4241 b=3.4241 c=8.2296 alpha=90.00 beta=90.00 gamma=90.00
Last column: nearest neighbours and their distance in Å.
Element x y z (fractional)
Pb (0.5000, 0.5000, 0.6965)  4 Be 2.82
Y (0.0000, 0.0000, 0.9818)  4 Pb 3.37, 8 Y 3.42-3.57
Y (0.5000, 0.5000, 0.3011)  4 Be 3.02, 1 Pb 3.25
Be (0.0000, 0.0000, 0.5206)  4 Pb 2.82, 4 Y 3.02

[4]
Density functional theory data (GGA-PBEsol) for a relaxed YBe3Pb crystal.

## Properties
The formation energy from the elements comes out at 1.694 eV/atom. The value obtained for the density of states at the Fermi level is 1.02 states/eV/atom.

Unit cell a=4.9644 b=4.9644 c=4.9644 alpha=90.00 beta=90.00 gamma=90.00
Last column: nearest neighbours and their distance in Å.
Element x y z (fractional)
Pb (0.5000, 0.5000, 0.5000)  12 Be 3.51
Y (0.0000, 0.0000, 0.0000)  6 Be 2.48
Be (0.0000, 0.5000, 0.0000)  2 Y 2.48
Be (0.0000, 0.0000, 0.5000)  2 Y 2.48
Be (0.5000, 0.0000, 0.0000)  2 Y 2.48

[5]
Density functional theory data (GGA-PBEsol) for a relaxed YBePb2 crystal.

## Properties
The formation energy from the elements comes out at 0.078 eV/atom. The value obtained for the density of states at the Fermi level is 0.66 states/eV/atom.

Unit cell a=3.4102 b=4.3049 c=6.5055 alpha=90.00 beta=90.26 gamma=90.00
Last column: nearest neighbours and their distance in Å.
Element x y z (fractional)
Pb (0.9950, 0.0000, 0.7373)  2 Be 2.65
Pb (0.0050, 0.0000, 0.2627)  2 Be 2.65
Y (0.5000, 0.5000, 0.0000)  8 Pb 3.23-3.24, 2 Y 3.41
Be (0.0000, 0.5000, 0.5000)  4 Pb 2.65

[6]
Density functional theory data (GGA-PBEsol) for a relaxed YBePb2 crystal.

## Properties
The formation energy from the elements comes out at 0.016 eV/atom. The value obtained for the density of states at the Fermi level is 0.44 states/eV/atom.

Unit cell a=4.1268 b=4.4205 c=5.8849 alpha=112.06 beta=110.53 gamma=90.00
Last column: nearest neighbours and their distance in Å.
Element x y z (fractional)
Pb (0.9767, 0.9767, 0.9534)  2 Be 2.99, 4 Y 3.05, 2 Pb 3.21
Pb (0.7465, 0.2465, 0.4929)  4 Be 3.03, 2 Pb 3.21, 2 Y 3.22
Y (0.5144, 0.5144, 0.0288)  8 Pb 3.05-3.40, 4 Be 3.25-3.37
Be (0.2624, 0.7624, 0.5249)  6 Pb 2.99-3.03, 2 Y 3.25

[7]
Density functional theory data (GGA-PBEsol) for a relaxed YBePb2 crystal.

## Properties
The formation energy from the elements comes out at 0.125 eV/atom. The value obtained for the density of states at the Fermi level is 0.69 states/eV/atom.

Unit cell a=3.6645 b=3.6791 c=6.8469 alpha=90.00 beta=90.00 gamma=90.00
Last column: nearest neighbours and their distance in Å.
Element x y z (fractional)
Pb (0.0000, 0.0000, 0.7162)  1 Pb 2.96, 4 Be 2.99, 4 Y 3.24
Pb (0.0000, 0.0000, 0.2838)  1 Pb 2.96, 4 Be 2.99, 4 Y 3.24
Y (0.5000, 0.5000, 0.0000)  8 Pb 3.24, 2 Be 3.42
Be (0.5000, 0.5000, 0.5000)  8 Pb 2.99

[8]
Density functional theory data (GGA-PBEsol) for a relaxed Y2BePb crystal.

## Properties
The formation energy from the elements comes out at -0.056 eV/atom. The value obtained for the density of states at the Fermi level is 0.87 states/eV/atom.

Unit cell a=4.2982 b=4.2982 c=5.9992 alpha=110.99 beta=110.99 gamma=90.00
Last column: nearest neighbours and their distance in Å.
Element x y z (fractional)
Pb (0.2500, 0.7500, 0.5000)  8 Y 3.04-3.36, 4 Be 3.36
Y (0.0000, 0.0000, 0.0000)  4 Be 3.04, 4 Pb 3.36, 4 Y 3.36
Y (0.7500, 0.2500, 0.5000)  4 Pb 3.04, 4 Be 3.36, 4 Y 3.36
Be (0.5000, 0.5000, 0.0000)  8 Y 3.04-3.36, 4 Pb 3.36